Density functional theory data (PBE) for a geometry-optimized Li2HfGa structure.

Geometry as CIF:
```
data_Li2HfGa
_chemical_formula_sum 'Li8 Hf4 Ga4'
_cell_length_a 6.4002
_cell_length_b 6.4002
_cell_length_c 6.4002
_cell_angle_alpha 90.00
_cell_angle_beta 90.00
_cell_angle_gamma 90.00
_symmetry_space_group_name_H-M 'F -4 3 m'
_symmetry_Int_Tables_number 216
_symmetry_space_group_name_Hall 'F -4 2 3'
loop_
_atom_site_label
_atom_site_fract_x
_atom_site_fract_y
_atom_site_fract_z
Li1 0.0000 0.0000 0.0000
Li2 0.2500 0.2500 0.2500
Hf1 0.2500 0.2500 0.7500
Ga1 0.0000 0.0000 0.5000
```

The total magnetization comes out at 0.001 μB per atom. The uncorrected energy is -0.1566 hartree per atom.